{
  "formula": "Na2Al2B2O7",
  "functional": "meta-GGA SCAN",
  "state": "PBEsol geometry",
  "mass_density_g_cm3": 2.50,
  "formation_energy_uncorrected_ev_per_atom": -2.812,
  "relative_energy_mev_per_atom": 4,
  "lattice_angstrom": [[-3.9172, 2.8291, -0.1037], [0.6468, -3.3969, -3.4004], [-7.5257, -10.1026, 8.6606]],
  "species": ["O", "O", "O", "O", "O", "O", "O", "O", "O", "O", "O", "O", "O", "O", "B", "B", "B", "B", "Al", "Al", "Al", "Al", "Na", "Na", "Na", "Na"],
  "frac_coords": [[0.6153, 0.9741, 0.6033], [0.6396, 0.5931, 0.0949], [0.9539, 0.3408, 0.1110], [0.3604, 0.4069, 0.5949], [0.6181, 0.3385, 0.7500], [0.6396, 0.5931, 0.4051], [0.3847, 0.0259, 0.1033], [0.9539, 0.3408, 0.3890], [0.3819, 0.6615, 0.2500], [0.3604, 0.4069, 0.9051], [0.0461, 0.6592, 0.6110], [0.3847, 0.0259, 0.3967], [0.0461, 0.6592, 0.8890], [0.6153, 0.9741, 0.8967], [0.3402, 0.6786, 0.6030], [0.3402, 0.6786, 0.8970], [0.6598, 0.3214, 0.1030], [0.6598, 0.3214, 0.3970], [0.6612, 0.3414, 0.8623], [0.3388, 0.6586, 0.3623], [0.6612, 0.3414, 0.6377], [0.3388, 0.6586, 0.1377], [0.0000, 0.0000, 0.0000], [0.0000, 0.0000, 0.5000], [0.0137, 0.9758, 0.7500], [0.9863, 0.0242, 0.2500]]
}